The following is a DFT calculation (PBE) of a relaxed structure of BaPRhO2.

```
BaPRhO2
1.0
4.444 0.000 0.000
0.000 4.341 0.000
0.000 0.000 4.444
Ba Rh O P
1 1 2 1
Direct
0.500 0.500 0.500
0.000 0.000 0.000
0.500 0.000 0.000
0.000 0.000 0.500
0.000 0.500 0.000
```

Calculated values
Raw formation energy ... -3.6 eV/f.u.
Magnetization ... 0.31 μB/f.u.
E above lowest polymorph ... 0 meV/atom
SG ... P4/mmm, No. 123



The following is a DFT calculation (PBE) of a relaxed structure of CaLa6Nd3.

```
CaLa6Nd3
1.0
-3.550 0.033 0.686
-0.429 -13.700 -1.561
2.943 3.277 15.079
Nd La Ca
6 12 2
Direct
0.250 0.080 0.695
0.750 0.920 0.305
0.750 0.185 0.299
0.250 0.427 0.302
0.750 0.573 0.698
0.250 0.815 0.701
0.250 0.975 0.102
0.750 0.326 0.710
0.750 0.025 0.898
0.250 0.674 0.290
0.250 0.535 0.892
0.250 0.878 0.495
0.750 0.621 0.492
0.250 0.379 0.508
0.250 0.220 0.110
0.750 0.780 0.890
0.750 0.122 0.505
0.750 0.465 0.108
0.250 0.277 0.906
0.750 0.723 0.094
```

Calculated values
Formation energy ... 0.0742 eV/atom
Magnetization ... 0.00 μB/f.u.
SG ... P2_1/m, No. 11